Compound: Pm8Ge5C
Source: Alexandria
Functional: GGA-PBE
Structure: optimized geometry

abc: 8.911 8.911 9.163
angles: 90.00 90.00 90.00
Space group I-4 (No. 82)
Asymmetric unit:
1 Pm 0.057 0.286 0.054 [8 per cell]
2 Pm 0.070 0.185 0.685 [8 per cell]
3 Ge 0.000 0.500 0.750 [2 per cell]
4 Ge 0.123 0.250 0.372 [8 per cell]
5 C 0.000 0.000 0.000 [2 per cell]

Calculated values
* E_tot: -5.661 eV/atom
* E_form: -14.7 kcal/mol of atoms
* spin magnetization: 0.000 μB/atom


Compound: Rb2PrScO4
Source: Alexandria
Functional: GGA-PBE
Structure: optimized geometry

abc: 7.076 7.494 10.239
angles: 90.00 90.00 90.00
Space group Imma (No. 74)
Asymmetric unit:
1 Rb 0.000 0.000 0.000 [4 per cell]
2 Rb 0.250 0.250 0.250 [4 per cell]
3 Pr 0.000 0.000 0.500 [4 per cell]
4 Sc 0.250 0.250 0.750 [4 per cell]
5 O 0.000 0.058 0.736 [8 per cell]
6 O 0.216 0.250 0.535 [8 per cell]

Calculated values
* E_tot: -6.559 eV/atom
* spin magnetization: 0.000 μB/atom
* formation energy from raw total energies: -2.449 eV per atom


Compound: Sm2AlRu3
Source: Alexandria
Functional: GGA-PBE
Structure: optimized geometry

abc: 5.5074 5.5074 8.5335
angles: 90.00 90.00 120.00
Space group P6_3/mmc (No. 194)
Asymmetric unit:
1 Sm 0.3333 0.6667 0.0666 [4 per cell]
2 Al 0.0000 0.0000 0.0000 [2 per cell]
3 Ru 0.1694 0.3388 0.7500 [6 per cell]

Calculated values
* E_tot: -7.193 eV/atom
* E_form: -8.3 kcal/mol of atoms
* spin magnetization: 0.303 μB/atom


Compound: Tm2ThH
Source: Alexandria
Functional: GGA-PBE
Structure: optimized geometry

abc: 3.4163 3.4163 28.1236
angles: 90.00 90.00 120.00
Space group R-3m (No. 166, hexagonal axes)
Asymmetric unit:
1 Tm 0.0000 0.0000 0.1196 [6 per cell]
2 Th 0.0000 0.0000 0.0000 [3 per cell]
3 H 0.0000 0.0000 0.5000 [3 per cell]

Calculated values
* E_tot: -4.930 eV/atom
* spin magnetization: 0.000 μB/atom